A plane-wave DFT calculation with PBE was carried out for an optimized crystal structure of AgHgW2.

abc: 2.8559 2.8559 30.0573
angles: 90.00 90.00 120.00
With the nearest neighbours (Å) after each atom.
Space group R3m (No. 160, hexagonal axes)
Inequivalent atoms, fractional coordinates:
Ag: 0.0000 0.0000 0.0000 x3  6 Ag 2.86, 3 W 2.96, 3 Hg 3.06
Hg: 0.0000 0.0000 0.7524 x3  6 Hg 2.86, 3 Ag 3.06, 3 W 3.08
W: 0.0000 0.0000 0.2516 x3  9 W 2.86-2.90, 3 Ag 2.96
W: 0.0000 0.0000 0.5055 x3  9 W 2.86-2.90, 3 Hg 3.08

Results
calculated total energy: -6.735 eV/atom
energy of formation: 51.14 kJ/mol of atoms
size of the total moment: 0.00 Bohr magnetons per cell